Below is a relaxed Cr2CdFe crystal, with properties calculated at the PBE-GGA level.

Structure (POSCAR):
```
Cr2CdFe
1.0
-1.818 1.818 4.092
1.818 -1.818 4.092
1.818 1.818 -4.092
Cr Cd Fe
2 1 1
Direct
0.250 0.750 0.500
0.750 0.250 0.500
0.000 0.000 0.000
0.500 0.500 0.000
```

Calculated formation energy (kcal/mol of atoms): 13.735
DFT total energy (eV for the cell shown): -26.2
Crystal system: tetragonal
M_tot (Bohr magnetons per cell): 2.2